[1]
## ReSn2Os (GGA-PBE)

Data for a relaxed structure of ReSn2Os.

a = 4.612 Å, b = 4.612 Å, c = 4.612 Å
α = 60.00°, β = 60.00°, γ = 60.00°
Atoms (fractional coordinates):
1 Re 0.000 0.000 0.000
2 Os 0.500 0.500 0.500
3 Sn 0.250 0.250 0.250
4 Sn 0.750 0.750 0.750

Output
D(E_F) ... 3.2 states/eV/cell
Calculated formation energy ... 0.524 eV per atom
Uncorrected energy ... -29.6 eV for the cell shown

---

[2]
## ReSnOs3 (GGA-PBE)

Data for a relaxed structure of ReSnOs3.

a = 4.727 Å, b = 4.727 Å, c = 4.727 Å
α = 90.00°, β = 90.00°, γ = 90.00°
Each line ends with the local moment (μB).
Atoms (fractional coordinates):
1 Re 0.500 0.500 0.500  2.58
2 Os 0.000 0.500 0.000  -0.20
3 Os 0.000 0.000 0.500  -0.14
4 Os 0.500 0.000 0.000  -0.22
5 Sn 0.000 0.000 0.000  0.02

Output
D(E_F) ... 4.9 states/eV/cell
Calculated formation energy ... 3.113 eV per atom
Uncorrected energy ... -34.6 eV for the cell shown

---

[3]
## ReSnOs3 (GGA-PBE)

Data for a relaxed structure of ReSnOs3.

a = 4.749 Å, b = 4.749 Å, c = 4.749 Å
α = 90.00°, β = 90.00°, γ = 90.00°
Atoms (fractional coordinates):
1 Re 0.000 0.000 0.000
2 Os 0.000 0.500 0.000
3 Os 0.000 0.000 0.500
4 Os 0.500 0.000 0.000
5 Sn 0.500 0.500 0.500

Output
D(E_F) ... 7.5 states/eV/cell
Calculated formation energy ... 2.007 eV per atom
Uncorrected energy ... -40.1 eV for the cell shown

---

[4]
## SrRe2SnOs (GGA-PBE)

Data for a relaxed structure of SrRe2SnOs.

a = 4.782 Å, b = 5.557 Å, c = 4.782 Å
α = 90.00°, β = 90.00°, γ = 90.00°
Each line ends with the local moment (μB).
Atoms (fractional coordinates):
1 Re 0.000 0.000 0.500  0.61
2 Re 0.500 0.000 0.000  0.46
3 Os 0.000 0.000 0.000  0.00
4 Sn 0.500 0.500 0.500  -0.07
5 Sr 0.000 0.500 0.000  -0.01

Output
D(E_F) ... 4.7 states/eV/cell
Calculated formation energy ... 1.409 eV per atom
Uncorrected energy ... -34.8 eV for the cell shown

---

> Among the records above, which one has the highest calculated formation energy?

number 2